No. 1
This record from Alexandria via LeMat-Bulk describes crystalline AlSe2Cl at its relaxed geometry. The functional is GGA-PBEsol.

Lattice parameters (Å, degrees): 2.808 2.808 12.112 83.34 83.34 60.00
Fractional positions:
1 Al 0.000 0.000 0.000
2 Se 0.927 0.927 0.218
3 Se 0.073 0.073 0.782
4 Cl 0.500 0.500 0.500

The magnetization is 0.00 μB per cell. The excess energy over the best structure of this formula in the dataset is 612 meV per atom. Its symmetry is R-3m (166). The formation energy from raw total energies is 0.106 eV/atom.

No. 2
This record from Alexandria via LeMat-Bulk describes crystalline AlSe2Cl at its relaxed geometry. The functional is GGA-PBEsol.

Lattice parameters (Å, degrees): 3.424 4.831 5.701 115.07 107.48 90.00
Fractional positions:
1 Al 0.000 0.500 0.000
2 Se 0.690 0.690 0.381
3 Se 0.310 0.310 0.619
4 Cl 0.500 0.000 0.000

The magnetization is 0.00 μB per cell. The excess energy over the best structure of this formula in the dataset is 264 meV per atom. Its symmetry is Immm (71). The formation energy from raw total energies is -0.241 eV/atom.

No. 3
This record from Alexandria via LeMat-Bulk describes crystalline AlSe2Cl at its relaxed geometry. The functional is GGA-PBEsol.

Lattice parameters (Å, degrees): 2.746 5.099 6.608 112.69 90.00 90.00
Fractional positions:
1 Al 0.500 0.000 0.000
2 Se 0.000 0.000 0.500
3 Se 0.000 0.500 0.500
4 Cl 0.500 0.500 0.000

The magnetization is 0.00 μB per cell. The excess energy over the best structure of this formula in the dataset is 498 meV per atom. Its symmetry is Cmmm (65). The formation energy from raw total energies is -0.007 eV/atom.

No. 4
This record from Alexandria via LeMat-Bulk describes crystalline AlSe2Cl at its relaxed geometry. The functional is GGA-PBEsol.

Lattice parameters (Å, degrees): 3.742 3.686 7.396 90.00 90.00 120.50
Fractional positions:
1 Al 0.500 0.000 0.500
2 Se 0.000 0.000 0.709
3 Se 0.000 0.000 0.291
4 Cl 0.500 0.000 0.000

The magnetization is 0.00 μB per cell. The excess energy over the best structure of this formula in the dataset is 325 meV per atom. Its symmetry is Cmmm (65). The formation energy from raw total energies is -0.181 eV/atom.

No. 5
This record from Alexandria via LeMat-Bulk describes crystalline AlSi2Cl at its relaxed geometry. The functional is GGA-PBEsol.

Lattice parameters (Å, degrees): 3.365 3.365 8.002 90.00 90.00 90.00
Fractional positions:
1 Si 0.000 0.000 0.207
2 Si 0.500 0.500 0.127
3 Al 0.000 0.000 0.514
4 Cl 0.500 0.500 0.652

The magnetization is 0.00 μB per cell. The excess energy over the best structure of this formula in the dataset is 90 meV per atom. Its symmetry is P4mm (99). The formation energy from raw total energies is 0.183 eV/atom.

No. 6
This record from Alexandria via LeMat-Bulk describes crystalline AlSiCl2 at its relaxed geometry. The functional is GGA-PBEsol.

Lattice parameters (Å, degrees): 3.132 3.151 8.582 90.00 90.00 119.81
Fractional positions:
1 Si 0.500 0.000 0.500
2 Al 0.500 0.000 0.000
3 Cl 0.000 0.000 0.757
4 Cl 0.000 0.000 0.243

The magnetization is 0.00 μB per cell. The excess energy over the best structure of this formula in the dataset is 234 meV per atom. Its symmetry is Cmmm (65). The formation energy from raw total energies is -0.106 eV/atom.

No. 7
This record from Alexandria via LeMat-Bulk describes crystalline AlSiCl4 at its relaxed geometry. The functional is GGA-PBEsol.

Lattice parameters (Å, degrees): 5.722 5.722 5.722 60.00 60.00 60.00
Each line ends with the local moment (μB).
Fractional positions:
1 Si 0.750 0.750 0.750  -0.05
2 Al 0.000 0.000 0.000  -0.01
3 Cl 0.375 0.375 0.375  0.27
4 Cl 0.375 0.375 0.875  0.27
5 Cl 0.875 0.375 0.375  0.27
6 Cl 0.375 0.875 0.375  0.27

The magnetization is 1.10 μB per cell. Its symmetry is F-43m (216). The formation energy from raw total energies is 0.648 eV/atom.

No. 8
This record from Alexandria via LeMat-Bulk describes crystalline AlSiCl2 at its relaxed geometry. The functional is GGA-PBEsol.

Lattice parameters (Å, degrees): 3.291 4.169 7.278 106.64 103.07 90.00
Fractional positions:
1 Si 0.500 0.000 0.000
2 Al 0.000 0.500 0.000
3 Cl 0.850 0.850 0.700
4 Cl 0.150 0.150 0.300

The magnetization is 0.00 μB per cell. The excess energy over the best structure of this formula in the dataset is 160 meV per atom. Its symmetry is Immm (71). The formation energy from raw total energies is -0.180 eV/atom.

Q: formation energy from raw total energies of number 5 (AlSi2Cl)?
A: 0.183 eV/atom

Q: The highest formation energy from raw total energies belongs to which entry?
A: AlSiCl4